[1]
First-principles (PBEsol) data for ZrRe2Ni after structural relaxation, as listed in Alexandria via LeMat-Bulk.

It has space group Fm-3m (No. 225), with a = 6.204 Å, b = 6.204 Å, c = 6.204 Å, α = 90.00°, β = 90.00° and γ = 90.00°. Symmetry generates all atoms from Zr at (0.000, 0.000, 0.000), Re at (0.250, 0.250, 0.250) and Ni at (0.000, 0.000, 0.500).

The total magnetization is 0.0 μB per cell. Its energy above the most stable polymorph in this dataset is 387 meV per atom.

=====

[2]
First-principles (PBEsol) data for Ni3Rh after structural relaxation, as listed in Alexandria via LeMat-Bulk.

It has space group Imm2 (No. 44), with a = 2.564 Å, b = 8.174 Å, c = 4.333 Å, α = 90.00°, β = 90.00° and γ = 90.00°. Symmetry generates all atoms from Ni at (0.000, 0.000, 0.000), Ni at (0.000, 0.253, 0.341) and Rh at (0.000, 0.500, 0.996).

The total magnetization is 5.5 μB per cell. Its total energy is -52.77 eV/cell.

=====

[3]
First-principles (PBEsol) data for NiRh after structural relaxation, as listed in Alexandria via LeMat-Bulk.

It has space group Amm2 (No. 38), with a = 3.661 Å, b = 3.673 Å, c = 10.781 Å, α = 90.00°, β = 90.00° and γ = 90.00°. Symmetry generates all atoms from Ni at (0.000, 0.000, 0.000), Ni at (0.000, 0.000, 0.338), Ni at (0.500, 0.000, 0.499), Rh at (0.000, 0.000, 0.665), Rh at (0.500, 0.000, 0.166) and Rh at (0.500, 0.000, 0.839).

The total magnetization is 5.3 μB per cell. Its total energy is -85.02 eV/cell.